Here is a geometry-optimized KZnIn2Te4 structure from Alexandria via LeMat-Bulk. Energies are from GGA-PBE.

abc: 7.2752 7.2752 11.8339
angles: 90.00 90.00 90.00
Positions (direct):
1 K 0.0000 0.0000 0.0000
2 K 0.5000 0.5000 0.5000
3 Zn 0.0000 0.0000 0.5000
4 Zn 0.5000 0.5000 0.0000
5 In 0.0000 0.5000 0.2500
6 In 0.0000 0.5000 0.7500
7 In 0.5000 0.0000 0.2500
8 In 0.5000 0.0000 0.7500
9 Te 0.2115 0.2115 0.3694
10 Te 0.2115 0.7885 0.6306
11 Te 0.2885 0.2885 0.8694
12 Te 0.2885 0.7115 0.1306
13 Te 0.7115 0.2885 0.1306
14 Te 0.7115 0.7115 0.8694
15 Te 0.7885 0.2115 0.6306
16 Te 0.7885 0.7885 0.3694

* SG: I-42m
* raw formation energy: -0.426 eV per atom